No. 1
Entry from Alexandria via LeMat-Bulk: a relaxed Ho2ThGa crystal (PBE).

Geometry as CIF:
```
data_Ho2ThGa
_chemical_formula_sum 'Ho2 Th1 Ga1'
_cell_length_a 4.7656
_cell_length_b 4.7656
_cell_length_c 4.7238
_cell_angle_alpha 90.00
_cell_angle_beta 90.00
_cell_angle_gamma 90.00
_space_group_name_H-M_alt 'P 4/m m m'
_space_group_IT_number 123
_space_group_name_Hall '-P 4 2'
loop_
_atom_site_label
_atom_site_type_symbol
_atom_site_fract_x
_atom_site_fract_y
_atom_site_fract_z
Ho1 Ho 0.0000 0.5000 0.0000
Th1 Th 0.0000 0.0000 0.5000
Ga1 Ga 0.5000 0.5000 0.5000
```

Results
Calculated formation energy, meV/atom: -190
E above lowest polymorph, meV per atom: 92

=====

No. 2
Entry from Alexandria via LeMat-Bulk: a relaxed HoThGa2 crystal (PBE).

Geometry as CIF:
```
data_HoThGa2
_chemical_formula_sum 'Ho4 Th4 Ga8'
_cell_length_a 7.2741
_cell_length_b 7.2741
_cell_length_c 7.2741
_cell_angle_alpha 90.00
_cell_angle_beta 90.00
_cell_angle_gamma 90.00
_space_group_name_H-M_alt 'F m -3 m'
_space_group_IT_number 225
_space_group_name_Hall '-F 4 2 3'
loop_
_atom_site_label
_atom_site_type_symbol
_atom_site_fract_x
_atom_site_fract_y
_atom_site_fract_z
Ho1 Ho 0.0000 0.0000 0.0000
Th1 Th 0.0000 0.0000 0.5000
Ga1 Ga 0.2500 0.2500 0.2500
```

Results
Calculated formation energy, meV/atom: -470
E above lowest polymorph, meV per atom: 98

=====

No. 3
Entry from Alexandria via LeMat-Bulk: a relaxed HoTh2Ga crystal (PBE).

Geometry as CIF:
```
data_HoTh2Ga
_chemical_formula_sum 'Ho1 Th2 Ga1'
_cell_length_a 3.9975
_cell_length_b 3.9975
_cell_length_c 7.1149
_cell_angle_alpha 90.00
_cell_angle_beta 90.00
_cell_angle_gamma 90.00
_space_group_name_H-M_alt 'P 4/m m m'
_space_group_IT_number 123
_space_group_name_Hall '-P 4 2'
loop_
_atom_site_label
_atom_site_type_symbol
_atom_site_fract_x
_atom_site_fract_y
_atom_site_fract_z
Ho1 Ho 0.0000 0.0000 0.0000
Th1 Th 0.5000 0.5000 0.2846
Ga1 Ga 0.0000 0.0000 0.5000
```

Results
Calculated formation energy, meV/atom: -121
E above lowest polymorph, meV per atom: 59

=====

No. 4
Entry from Alexandria via LeMat-Bulk: a relaxed Ho2ThGa6 crystal (PBE).

Geometry as CIF:
```
data_Ho2ThGa6
_chemical_formula_sum 'Ho2 Th1 Ga6'
_cell_length_a 7.3331
_cell_length_b 7.3331
_cell_length_c 4.1399
_cell_angle_alpha 90.00
_cell_angle_beta 90.00
_cell_angle_gamma 120.00
_space_group_name_H-M_alt 'P 6/m m m'
_space_group_IT_number 191
_space_group_name_Hall '-P 6 2'
loop_
_atom_site_label
_atom_site_type_symbol
_atom_site_fract_x
_atom_site_fract_y
_atom_site_fract_z
Ho1 Ho 0.3333 0.6667 0.0000
Th1 Th 0.0000 0.0000 0.0000
Ga1 Ga 0.0000 0.3350 0.5000
```

Results
Calculated formation energy, meV/atom: -622
E above lowest polymorph, meV per atom: 0

=====

No. 5
Entry from Alexandria via LeMat-Bulk: a relaxed HoThGa2 crystal (PBE).

Geometry as CIF:
```
data_HoThGa2
_chemical_formula_sum 'Ho3 Th3 Ga6'
_cell_length_a 3.6999
_cell_length_b 3.6999
_cell_length_c 26.3316
_cell_angle_alpha 90.00
_cell_angle_beta 90.00
_cell_angle_gamma 120.00
_space_group_name_H-M_alt 'R -3 m'
_space_group_IT_number 166
_space_group_name_Hall '-R 3 2"'
loop_
_atom_site_label
_atom_site_type_symbol
_atom_site_fract_x
_atom_site_fract_y
_atom_site_fract_z
Ho1 Ho 0.0000 0.0000 0.0000
Th1 Th 0.0000 0.0000 0.5000
Ga1 Ga 0.0000 0.0000 0.2535
```

Results
Calculated formation energy, meV/atom: -326
E above lowest polymorph, meV per atom: 243

=====

No. 6
Entry from Alexandria via LeMat-Bulk: a relaxed HoThGa crystal (PBE).

Geometry as CIF:
```
data_HoThGa
_chemical_formula_sum 'Ho2 Th2 Ga2'
_cell_length_a 3.5420
_cell_length_b 3.5420
_cell_length_c 12.9250
_cell_angle_alpha 90.00
_cell_angle_beta 90.00
_cell_angle_gamma 90.00
_space_group_name_H-M_alt 'I 4 m m'
_space_group_IT_number 107
_space_group_name_Hall 'I 4 -2'
loop_
_atom_site_label
_atom_site_type_symbol
_atom_site_fract_x
_atom_site_fract_y
_atom_site_fract_z
Ho1 Ho 0.0000 0.0000 0.0000
Th1 Th 0.0000 0.0000 0.7053
Ga1 Ga 0.0000 0.0000 0.3607
```

Results
Calculated formation energy, meV/atom: -277
E above lowest polymorph, meV per atom: 0

=====

No. 7
Entry from Alexandria via LeMat-Bulk: a relaxed HoTh2Ga crystal (PBE).

Geometry as CIF:
```
data_HoTh2Ga
_chemical_formula_sum 'Ho3 Th6 Ga3'
_cell_length_a 3.3874
_cell_length_b 3.3874
_cell_length_c 35.1955
_cell_angle_alpha 90.00
_cell_angle_beta 90.00
_cell_angle_gamma 120.00
_space_group_name_H-M_alt 'R -3 m'
_space_group_IT_number 166
_space_group_name_Hall '-R 3 2"'
loop_
_atom_site_label
_atom_site_type_symbol
_atom_site_fract_x
_atom_site_fract_y
_atom_site_fract_z
Ho1 Ho 0.0000 0.0000 0.0000
Th1 Th 0.0000 0.0000 0.0943
Ga1 Ga 0.0000 0.0000 0.5000
```

Results
Calculated formation energy, meV/atom: 123
E above lowest polymorph, meV per atom: 303

=====

No. 8
Entry from Alexandria via LeMat-Bulk: a relaxed HoTh2Ga6 crystal (PBE).

Geometry as CIF:
```
data_HoTh2Ga6
_chemical_formula_sum 'Ho1 Th2 Ga6'
_cell_length_a 7.3695
_cell_length_b 7.3695
_cell_length_c 4.1974
_cell_angle_alpha 90.00
_cell_angle_beta 90.00
_cell_angle_gamma 120.00
_space_group_name_H-M_alt 'P 6/m m m'
_space_group_IT_number 191
_space_group_name_Hall '-P 6 2'
loop_
_atom_site_label
_atom_site_type_symbol
_atom_site_fract_x
_atom_site_fract_y
_atom_site_fract_z
Ho1 Ho 0.0000 0.0000 0.0000
Th1 Th 0.3333 0.6667 0.0000
Ga1 Ga 0.0000 0.3316 0.5000
```

Results
Calculated formation energy, meV/atom: -632

=====

Number 1: volume 26.8 A^3/atom, total moment 0.00 μB/cell. Number 2: volume 24.1 A^3/atom, total moment 0.00 μB/cell. Number 3: volume 28.4 A^3/atom, total moment 0.00 μB/cell. Number 4: volume 21.4 A^3/atom, total moment 0.00 μB/cell. Number 5: volume 26.0 A^3/atom, total moment 0.00 μB/cell. Number 6: volume 27.0 A^3/atom, total moment 0.00 μB/cell. Number 7: volume 29.1 A^3/atom, total moment 0.00 μB/cell. Number 8: volume 21.9 A^3/atom, total moment 0.00 μB/cell.